Record 1
{
  "formula": "Os2RuAu",
  "functional": "GGA-PBE",
  "state": "relaxed",
  "space_group": "No. 12",
  "mass_density_g_cm3": 18.77,
  "polymorph_energy_mev_per_atom": 153.3,
  "lattice_angstrom": [[4.5995, -1.3837, 0.0000], [4.5995, 1.3837, 0.0000], [-0.8244, 0.0000, 4.7165]],
  "species": ["Os", "Os", "Ru", "Au"],
  "fractional_positions": [[0.2429, 0.2429, 0.2316], [0.7571, 0.7571, 0.7684], [0.5000, 0.5000, 0.0000], [0.0000, 0.0000, 0.5000]]
}

---

Record 2
{
  "formula": "La2NiPt",
  "functional": "GGA-PBE",
  "state": "relaxed",
  "space_group": "No. 216",
  "mass_density_g_cm3": 10.59,
  "final_energy_ev_per_atom": -5.897,
  "lattice_angstrom": [[0.0000, 3.4667, 3.4667], [3.4667, 0.0000, 3.4667], [3.4667, 3.4667, 0.0000]],
  "species": ["La", "La", "Ni", "Pt"],
  "fractional_positions": [[0.0000, 0.0000, 0.0000], [0.2500, 0.2500, 0.2500], [0.7500, 0.7500, 0.7500], [0.5000, 0.5000, 0.5000]]
}